*a*
Computed, not measured: FeBiTe2I after structural relaxation at the PBE level of DFT.

Results
- size of the total moment (μB/f.u.) = 3.9
- N(E_F) (states/eV/cell) = 11.300
- symmetry = P4/mmm

a b c (Å): 5.9712 5.9712 6.0046
angles (deg): 90.00 90.00 90.00
Sites, in units of the cell vectors:
1 Fe 0.0000 0.0000 0.0000
2 Bi 0.5000 0.5000 0.5000
3 Te 0.0000 0.5000 0.5000
4 Te 0.5000 0.0000 0.5000
5 I 0.5000 0.5000 0.0000

*b*
Computed, not measured: FeBiTe2I after structural relaxation at the PBE level of DFT.

Results
- size of the total moment (μB/f.u.) = 0.0
- N(E_F) (states/eV/cell) = 6.897
- symmetry = P4/mmm

a b c (Å): 5.0623 5.0623 5.3116
angles (deg): 90.00 90.00 90.00
Sites, in units of the cell vectors:
1 Fe 0.0000 0.0000 0.0000
2 Bi 0.5000 0.5000 0.5000
3 Te 0.0000 0.5000 0.0000
4 Te 0.5000 0.0000 0.0000
5 I 0.0000 0.0000 0.5000

Structures ranked by computed energy, the most stable listed first: *b*, *a*.

*a*
Computed, not measured: FeBi2Ir after structural relaxation at the PBE level of DFT.

Results
- size of the total moment (μB/f.u.) = 2.8
- N(E_F) (states/eV/cell) = 2.601
- symmetry = Fm-3m

a b c (Å): 4.8597 4.8597 4.8597
angles (deg): 60.00 60.00 60.00
Sites, in units of the cell vectors:
1 Fe 0.0000 0.0000 0.0000
2 Bi 0.2500 0.2500 0.2500
3 Bi 0.7500 0.7500 0.7500
4 Ir 0.5000 0.5000 0.5000

*b*
Computed, not measured: FeBi2Ir after structural relaxation at the PBE level of DFT.

Results
- size of the total moment (μB/f.u.) = 2.4
- N(E_F) (states/eV/cell) = 10.410
- symmetry = I-42d

a b c (Å): 7.1816 7.1816 7.1816
angles (deg): 127.35 127.35 77.68
Sites, in units of the cell vectors:
1 Fe 0.0000 0.0000 0.0000
2 Fe 0.7500 0.2500 0.5000
3 Bi 0.1243 0.6250 0.9993
4 Bi 0.3750 0.3743 0.4993
5 Bi 0.6257 0.1250 0.0007
6 Bi 0.8750 0.8757 0.5007
7 Ir 0.2500 0.7500 0.5000
8 Ir 0.5000 0.5000 0.0000

Structures ranked by computed energy, the most stable listed first: *a*, *b*.

*a*
Computed, not measured: KFeBi2 after structural relaxation at the PBE level of DFT.

Results
- size of the total moment (μB/f.u.) = 2.9
- N(E_F) (states/eV/cell) = 4.927
- symmetry = Fm-3m

a b c (Å): 5.3461 5.3461 5.3461
angles (deg): 60.00 60.00 60.00
Sites, in units of the cell vectors:
1 K 0.0000 0.0000 0.0000
2 Fe 0.5000 0.5000 0.5000
3 Bi 0.2500 0.2500 0.2500
4 Bi 0.7500 0.7500 0.7500

*b*
Computed, not measured: KFeBi2 after structural relaxation at the PBE level of DFT.

Results
- size of the total moment (μB/f.u.) = 2.8
- N(E_F) (states/eV/cell) = 6.497
- symmetry = I-42d

a b c (Å): 6.9356 6.9356 6.9356
angles (deg): 103.68 103.68 121.80
Sites, in units of the cell vectors:
1 K 0.0000 0.0000 0.0000
2 K 0.7500 0.2500 0.5000
3 Fe 0.2500 0.7500 0.5000
4 Fe 0.5000 0.5000 0.0000
5 Bi 0.2039 0.6250 0.0789
6 Bi 0.3750 0.4539 0.5789
7 Bi 0.5461 0.1250 0.9211
8 Bi 0.8750 0.7961 0.4211

Structures ranked by computed energy, the most stable listed first: *b*, *a*.